VASP calculation (PBE-GGA) on Rb3MgB after structural relaxation.

For the calculated formation energy, the calculation gives 429 kJ/mol of formula units. The energy is -1.35 eV/atom. Its energy above the most stable polymorph in this dataset is 0.0 meV/atom. The density of states at the Fermi level comes out at 0.958 states/eV/atom.

The structure belongs to space group Pm-3m (No. 221); the cell edges are 6.432, 6.432 and 6.432 Å and the angles 90.00°, 90.00° and 90.00°. The distinct sites, in fractional coordinates, are Rb at (0.000, 0.000, 0.500), Mg at (0.500, 0.500, 0.500) and B at (0.000, 0.000, 0.000).